(1)
VASP calculation (GGA-PBE) on a relaxed La4Pm5Ho3 crystal.

Properties
Crystal system: monoclinic
Calculated total energy (eV per atom): -4.56
Formation enthalpy at 0 K (eV/f.u.): 2.44
N(E_F) (states/eV per cell): 41.084

Lattice parameters (Å, degrees): 16.520 6.044 9.524 90.00 117.00 90.00
Space group C2/m (No. 12)
Unique sites:
La: 0.084 0.000 0.441 [4 per cell]
La: 0.218 0.000 0.877 [4 per cell]
Pm: 0.000 0.000 0.000 [2 per cell]
Pm: 0.074 0.500 0.704 [4 per cell]
Pm: 0.171 0.500 0.389 [4 per cell]
Ho: 0.000 0.500 0.000 [2 per cell]
Ho: 0.210 0.000 0.228 [4 per cell]

---

(2)
VASP calculation (GGA-PBE) on a relaxed LaPm8Ho6 crystal.

Properties
Crystal system: trigonal
Calculated total energy (eV per atom): -4.49
Formation enthalpy at 0 K (eV/f.u.): 3.12
N(E_F) (states/eV per cell): 20.745

Lattice parameters (Å, degrees): 9.4849 9.4849 6.6439 90.00 90.00 120.00
Space group P-3 (No. 147)
Unique sites:
La: 0.0000 0.0000 0.0000 [1 per cell]
Pm: 0.0133 0.3241 0.3899 [6 per cell]
Pm: 0.3333 0.6667 0.6687 [2 per cell]
Ho: 0.0864 0.6760 0.1053 [6 per cell]

---

(3)
VASP calculation (GGA-PBE) on a relaxed La2Pm6Ho crystal.

Properties
Crystal system: hexagonal
Calculated total energy (eV per atom): -4.71
Formation enthalpy at 0 K (eV/f.u.): 0.55
N(E_F) (states/eV per cell): 15.773

Lattice parameters (Å, degrees): 3.6560 3.6560 27.2110 90.00 90.00 120.00
Space group P-6m2 (No. 187)
Unique sites:
La: 0.0000 0.0000 0.1712 [2 per cell]
Pm: 0.0000 0.0000 0.3944 [2 per cell]
Pm: 0.6667 0.3333 0.0623 [2 per cell]
Pm: 0.6667 0.3333 0.2863 [2 per cell]
Ho: 0.6667 0.3333 0.5000 [1 per cell]

---

(4)
VASP calculation (GGA-PBE) on a relaxed LaPm4Ho6 crystal.

Properties
Crystal system: hexagonal
Calculated total energy (eV per atom): -4.52
Formation enthalpy at 0 K (eV/f.u.): 1.64
N(E_F) (states/eV per cell): 16.109

Lattice parameters (Å, degrees): 11.0272 11.0272 3.5491 90.00 90.00 120.00
Space group P-6m2 (No. 187)
Unique sites:
La: 0.0000 0.0000 0.0000 [1 per cell]
Pm: 0.3333 0.6667 0.0000 [1 per cell]
Pm: 0.3967 0.1984 0.5000 [3 per cell]
Ho: 0.0075 0.5038 0.0000 [3 per cell]
Ho: 0.1718 0.3435 0.5000 [3 per cell]

---

(5)
VASP calculation (GGA-PBE) on a relaxed LaPm2Ho3 crystal.

Properties
Crystal system: trigonal
Calculated total energy (eV per atom): -4.43
Formation enthalpy at 0 K (eV/f.u.): 1.57
N(E_F) (states/eV per cell): 20.321

Lattice parameters (Å, degrees): 7.0182 7.0182 9.5735 90.00 90.00 120.00
Space group P-3m1 (No. 164)
Unique sites:
La: 0.3333 0.6667 0.4180 [2 per cell]
Pm: 0.0000 0.0000 0.0000 [1 per cell]
Pm: 0.0000 0.0000 0.5000 [1 per cell]
Pm: 0.3333 0.6667 0.0723 [2 per cell]
Ho: 0.1837 0.3674 0.7512 [6 per cell]

---

(6)
VASP calculation (GGA-PBE) on a relaxed LaPm2Ho crystal.

Properties
Crystal system: monoclinic
Calculated total energy (eV per atom): -4.73
Formation enthalpy at 0 K (eV/f.u.): 0.08
N(E_F) (states/eV per cell): 12.156

Lattice parameters (Å, degrees): 12.147 3.650 6.267 90.00 99.94 90.00
Space group C2/m (No. 12)
Unique sites:
La: 0.000 0.000 0.000 [2 per cell]
Pm: 0.248 0.000 0.748 [4 per cell]
Ho: 0.000 0.500 0.500 [2 per cell]

---

(7)
VASP calculation (GGA-PBE) on a relaxed La2Pm9Ho crystal.

Properties
Crystal system: tetragonal
Calculated total energy (eV per atom): -4.75
Formation enthalpy at 0 K (eV/f.u.): 0.22
N(E_F) (states/eV per cell): 20.371

Lattice parameters (Å, degrees): 5.169 5.169 15.524 90.00 90.00 90.00
Space group P4/mmm (No. 123)
Unique sites:
La: 0.000 0.000 0.168 [2 per cell]
Pm: 0.000 0.500 0.000 [2 per cell]
Pm: 0.000 0.500 0.337 [4 per cell]
Pm: 0.500 0.500 0.169 [2 per cell]
Pm: 0.500 0.500 0.500 [1 per cell]
Ho: 0.000 0.000 0.500 [1 per cell]

---

(8)
VASP calculation (GGA-PBE) on a relaxed La3Pm7Ho crystal.

Properties
Crystal system: orthorhombic
Calculated total energy (eV per atom): -4.55
Formation enthalpy at 0 K (eV/f.u.): 2.58
N(E_F) (states/eV per cell): 32.712

Lattice parameters (Å, degrees): 5.994 11.420 11.496 90.00 90.00 90.00
Space group Immm (No. 71)
Unique sites:
La: 0.000 0.000 0.000 [2 per cell]
La: 0.000 0.287 0.500 [4 per cell]
Pm: 0.000 0.000 0.500 [2 per cell]
Pm: 0.000 0.204 0.199 [8 per cell]
Pm: 0.000 0.500 0.291 [4 per cell]
Ho: 0.000 0.500 0.000 [2 per cell]